No. 1
Si2NiRh3 PBE relaxed; volume = 13.4 Å³/atom; uncorrected formation energy = -0.610 eV per atom; E = -7.06 eV/atom
1.0
-2.568 6.022 2.601
2.568 -6.022 2.601
2.568 6.022 -2.601
Si Ni Rh
4 2 6
Cartesian
1.254 1.536 0.000
1.254 -1.536 2.601
1.314 7.558 0.000
1.314 4.486 2.601
0.000 0.000 1.301
0.000 0.000 3.902
3.970 2.165 0.000
2.568 0.000 1.301
1.403 3.856 0.000
1.165 2.165 2.601
0.000 6.022 1.301
-1.403 3.856 2.601

No. 2
CrSi2Hg PBE relaxed; volume = 15.9 Å³/atom; uncorrected formation energy = 0.525 eV per atom; E = -4.67 eV/atom
1.0
-1.978 1.978 4.050
1.978 -1.978 4.050
1.978 1.978 -4.050
Cr Si Hg
1 2 1
Cartesian
0.000 0.000 0.000
1.978 0.000 2.025
0.000 1.978 2.025
0.000 0.000 4.050

Repeat the second record exactly.
CrSi2Hg PBE relaxed; volume = 15.9 Å³/atom; uncorrected formation energy = 0.525 eV per atom; E = -4.67 eV/atom
1.0
-1.978 1.978 4.050
1.978 -1.978 4.050
1.978 1.978 -4.050
Cr Si Hg
1 2 1
Cartesian
0.000 0.000 0.000
1.978 0.000 2.025
0.000 1.978 2.025
0.000 0.000 4.050